# Nd2UCuS6

Crystalline Nd2UCuS6 at its relaxed geometry (GGA-PBE, Alexandria).

Values from the calculation:
As for the uncorrected formation energy: -1.22 eV per atom.

Unit cell a=6.6025 b=6.6025 c=5.7388 alpha=90.00 beta=90.00 gamma=90.00
Space group P4mm (No. 99)
Unique sites:
Nd 0.0000 0.5000 0.0000 x2
U 0.0000 0.0000 0.6266 x1
Cu 0.5000 0.5000 0.5494 x1
S 0.0000 0.0000 0.1523 x1
S 0.2634 0.2634 0.7125 x4
S 0.5000 0.5000 0.1652 x1


# Mn2IrAu

Crystalline Mn2IrAu at its relaxed geometry (GGA-PBE, Alexandria).

Values from the calculation:
For the energy relative to the elements, the calculation gives 0.25 eV per atom. The relative energy among the computed polymorphs comes out at 292 meV/atom.

Unit cell a=6.2717 b=6.2717 c=6.2717 alpha=90.00 beta=90.00 gamma=90.00
Space group F-43m (No. 216)
Unique sites:
Mn 0.0000 0.0000 0.0000 x4
Mn 0.2500 0.2500 0.2500 x4
Ir 0.0000 0.0000 0.5000 x4
Au 0.2500 0.2500 0.7500 x4


# LiAcAlIr

Crystalline LiAcAlIr at its relaxed geometry (GGA-PBE, Alexandria).

Values from the calculation:
For the energy relative to the elements, the calculation gives -0.29 eV per atom.

Unit cell a=6.9295 b=6.9295 c=6.9295 alpha=90.00 beta=90.00 gamma=90.00
Space group F-43m (No. 216)
Unique sites:
Li 0.0000 0.0000 0.0000 x4
Ac 0.2500 0.2500 0.2500 x4
Al 0.2500 0.2500 0.7500 x4
Ir 0.0000 0.0000 0.5000 x4


# K12BaNa3

Crystalline K12BaNa3 at its relaxed geometry (GGA-PBE, Alexandria).

Values from the calculation:
For the energy relative to the elements, the calculation gives 0.04 eV per atom.

Unit cell a=6.3702 b=6.3702 c=25.3791 alpha=90.00 beta=90.00 gamma=90.00
Space group P4/mmm (No. 123)
Unique sites:
K 0.0000 0.0000 0.0000 x1
K 0.0000 0.0000 0.2431 x2
K 0.0000 0.0000 0.5000 x1
K 0.0000 0.5000 0.1218 x4
K 0.0000 0.5000 0.3647 x4
Ba 0.5000 0.5000 0.5000 x1
Na 0.5000 0.5000 0.0000 x1
Na 0.5000 0.5000 0.2455 x2


# Al2CuRhSe

Crystalline Al2CuRhSe at its relaxed geometry (GGA-PBE, Alexandria).

Values from the calculation:
As for the uncorrected formation energy: 0.31 eV per atom.

Unit cell a=4.6431 b=4.6431 c=5.0415 alpha=90.00 beta=90.00 gamma=90.00
Space group P4/mmm (No. 123)
Unique sites:
Al 0.0000 0.5000 0.0000 x2
Cu 0.0000 0.0000 0.5000 x1
Rh 0.5000 0.5000 0.0000 x1
Se 0.5000 0.5000 0.5000 x1


# Re2NiOs

Crystalline Re2NiOs at its relaxed geometry (GGA-PBE, Alexandria).

Values from the calculation:
For the energy relative to the elements, the calculation gives 0.05 eV per atom. The relative energy among the computed polymorphs comes out at 104 meV/atom.

Unit cell a=2.7157 b=3.8382 c=5.3354 alpha=90.00 beta=90.22 gamma=90.00
Space group P2/m (No. 10)
Unique sites:
Re 0.0029 0.0000 0.2593 x2
Ni 0.5000 0.5000 0.5000 x1
Os 0.5000 0.5000 0.0000 x1


# Sr2MgInO5

Crystalline Sr2MgInO5 at its relaxed geometry (GGA-PBE, Alexandria).

Values from the calculation:
As for the uncorrected formation energy: -2.15 eV per atom.

Unit cell a=3.5727 b=13.8602 c=10.6573 alpha=90.00 beta=90.00 gamma=90.00
Space group Cmc2_1 (No. 36)
Unique sites:
Sr 0.0000 0.0994 0.0000 x4
Sr 0.0000 0.1345 0.6283 x4
Mg 0.0000 0.2278 0.3521 x4
In 0.0000 0.4589 0.7980 x4
O 0.0000 0.0714 0.3919 x4
O 0.0000 0.2749 0.9796 x4
O 0.0000 0.2988 0.7496 x4
O 0.0000 0.3790 0.3292 x4
O 0.0000 0.4958 0.6089 x4


# SrBr2N

Crystalline SrBr2N at its relaxed geometry (GGA-PBE, Alexandria).

Values from the calculation:
As for the uncorrected formation energy: -0.29 eV per atom. The relative energy among the computed polymorphs comes out at 4 meV/atom.

Unit cell a=7.5260 b=7.5260 c=7.5260 alpha=90.00 beta=90.00 gamma=90.00
Space group Fm-3m (No. 225)
Unique sites:
Sr 0.0000 0.0000 0.0000 x4
Br 0.2500 0.2500 0.2500 x8
N 0.0000 0.0000 0.5000 x4


# AcCe2Pr3Se6

Crystalline AcCe2Pr3Se6 at its relaxed geometry (GGA-PBE, Alexandria).

Values from the calculation:
As for the uncorrected formation energy: -1.84 eV per atom.

Unit cell a=7.4107 b=12.8445 c=7.4280 alpha=90.00 beta=109.52 gamma=90.00
Space group C2/m (No. 12)
Unique sites:
Ac 0.0000 0.0000 0.0000 x2
Ce 0.0000 0.3329 0.0000 x4
Pr 0.0000 0.1614 0.5000 x4
Pr 0.0000 0.5000 0.5000 x2
Se 0.2390 0.5000 0.2468 x4
Se 0.2443 0.3286 0.7474 x8


# Ba2CuTe

Crystalline Ba2CuTe at its relaxed geometry (GGA-PBE, Alexandria).

Values from the calculation:
As for the uncorrected formation energy: -0.72 eV per atom.

Unit cell a=5.2038 b=4.5835 c=12.7397 alpha=90.00 beta=90.00 gamma=90.00
Space group Amm2 (No. 38)
Unique sites:
Ba 0.0000 0.0000 0.0000 x2
Ba 0.5000 0.0000 0.2631 x2
Cu 0.5000 0.0000 0.5215 x2
Te 0.0000 0.0000 0.7210 x2


# V2NiPt5Rh

Crystalline V2NiPt5Rh at its relaxed geometry (GGA-PBE, Alexandria).

Values from the calculation:
For the energy relative to the elements, the calculation gives 0.13 eV per atom.

Unit cell a=7.2219 b=7.2219 c=10.8154 alpha=90.00 beta=90.00 gamma=90.00
Space group I4/mcm (No. 140)
Unique sites:
V 0.1021 0.3979 0.0000 x8
Ni 0.0000 0.0000 0.2500 x4
Pt 0.0000 0.0000 0.0000 x4
Pt 0.2127 0.2873 0.3693 x16
Rh 0.0000 0.5000 0.2500 x4


# HoTlGeCl6

Crystalline HoTlGeCl6 at its relaxed geometry (GGA-PBE, Alexandria).

Values from the calculation:
As for the uncorrected formation energy: -1.53 eV per atom.

Unit cell a=6.9721 b=6.9721 c=7.0249 alpha=90.00 beta=90.00 gamma=120.00
Space group P312 (No. 149)
Unique sites:
Ho 0.0000 0.0000 0.0000 x1
Tl 0.3333 0.6667 0.5000 x1
Ge 0.6667 0.3333 0.0000 x1
Cl 0.3282 0.0348 0.2139 x6


# TlCd3Hg6

Crystalline TlCd3Hg6 at its relaxed geometry (GGA-PBE, Alexandria).

Values from the calculation:
For the energy relative to the elements, the calculation gives 0.02 eV per atom.

Unit cell a=3.7157 b=3.7157 c=22.2227 alpha=90.00 beta=90.00 gamma=120.00
Space group P-3m1 (No. 164)
Unique sites:
Tl 0.0000 0.0000 0.0000 x1
Cd 0.0000 0.0000 0.2081 x2
Cd 0.0000 0.0000 0.5000 x1
Hg 0.3333 0.6667 0.3042 x2
Hg 0.3333 0.6667 0.5967 x2
Hg 0.3333 0.6667 0.8890 x2


# BaNiGe3Ir

Crystalline BaNiGe3Ir at its relaxed geometry (GGA-PBE, Alexandria).

Values from the calculation:
For the energy relative to the elements, the calculation gives -0.36 eV per atom.

Unit cell a=6.5406 b=12.2909 c=6.5396 alpha=90.00 beta=90.00 gamma=90.00
Space group Cmcm (No. 63)
Unique sites:
Ba 0.0000 0.2485 0.2500 x4
Ni 0.0000 0.0447 0.7500 x4
Ge 0.0000 0.2224 0.7500 x4
Ge 0.2367 0.5000 0.0000 x8
Ir 0.0000 0.4102 0.7500 x4


# Pm8Y5Mg

Crystalline Pm8Y5Mg at its relaxed geometry (GGA-PBE, Alexandria).

Values from the calculation:
For the energy relative to the elements, the calculation gives 0.19 eV per atom.

Unit cell a=12.6427 b=10.2761 c=9.5055 alpha=90.00 beta=129.10 gamma=90.00
Space group C2 (No. 5)
Unique sites:
Pm 0.0443 0.0000 0.2209 x4
Pm 0.1487 0.3549 0.4273 x4
Pm 0.1750 0.6561 0.7032 x4
Pm 0.2440 0.9934 0.8291 x4
Y 0.0000 0.2936 0.0000 x2
Y 0.0524 0.6614 0.2130 x4
Y 0.2329 0.3230 0.8559 x4
Mg 0.0000 0.1465 0.5000 x2


# Tl3IO

Crystalline Tl3IO at its relaxed geometry (GGA-PBE, Alexandria).

Values from the calculation:
As for the uncorrected formation energy: 0.51 eV per atom. The relative energy among the computed polymorphs comes out at 1130 meV/atom.

Unit cell a=6.5079 b=6.5079 c=6.5079 alpha=90.00 beta=90.00 gamma=90.00
Space group Pm-3m (No. 221)
Unique sites:
Tl 0.0000 0.0000 0.5000 x3
I 0.0000 0.0000 0.0000 x1
O 0.5000 0.5000 0.5000 x1


# BaUTe3

Crystalline BaUTe3 at its relaxed geometry (GGA-PBE, Alexandria).

Values from the calculation:
As for the uncorrected formation energy: -1.03 eV per atom.

Unit cell a=15.1131 b=4.4916 c=12.5193 alpha=90.00 beta=109.33 gamma=90.00
Space group C2/m (No. 12)
Unique sites:
Ba 0.0492 0.0000 0.3637 x4
U 0.2476 0.0000 0.1571 x4
Te 0.1241 0.5000 0.1940 x4
Te 0.1297 0.5000 0.5997 x4
Te 0.1358 0.0000 0.9015 x4


# SmYTlPb

Crystalline SmYTlPb at its relaxed geometry (GGA-PBE, Alexandria).

Values from the calculation:
For the energy relative to the elements, the calculation gives -0.43 eV per atom. The relative energy among the computed polymorphs comes out at 0 meV/atom.

Unit cell a=5.0599 b=5.0599 c=8.8794 alpha=90.00 beta=90.00 gamma=90.00
Space group I-4m2 (No. 119)
Unique sites:
Sm 0.0000 0.0000 0.0000 x2
Y 0.0000 0.0000 0.5000 x2
Tl 0.0000 0.5000 0.7500 x2
Pb 0.0000 0.5000 0.2500 x2


# Sr3MnOs

Crystalline Sr3MnOs at its relaxed geometry (GGA-PBE, Alexandria).

Values from the calculation:
For the energy relative to the elements, the calculation gives 0.82 eV per atom. The relative energy among the computed polymorphs comes out at 0 meV/atom.

Unit cell a=5.7868 b=5.7868 c=5.7868 alpha=90.00 beta=90.00 gamma=90.00
Space group Pm-3m (No. 221)
Unique sites:
Sr 0.0000 0.0000 0.5000 x3
Mn 0.5000 0.5000 0.5000 x1
Os 0.0000 0.0000 0.0000 x1


# RbTc2Sn

Crystalline RbTc2Sn at its relaxed geometry (GGA-PBE, Alexandria).

Values from the calculation:
For the energy relative to the elements, the calculation gives 1.10 eV per atom.

Unit cell a=4.8500 b=4.8500 c=19.5290 alpha=90.00 beta=90.00 gamma=90.00
Space group I-42d (No. 122)
Unique sites:
Rb 0.0000 0.0000 0.0000 x4
Tc 0.0220 0.2500 0.6250 x8
Sn 0.0000 0.0000 0.5000 x4